No. 1
The following is a PBE-GGA calculation of crystalline La2BiB at its relaxed geometry, from the Alexandria database.

POSCAR file:
```
La2BiB
1.0
0.000 3.802 3.802
3.802 0.000 3.802
3.802 3.802 0.000
B Bi La
1 1 2
Direct
0.000 0.000 0.000 B
0.500 0.500 0.500 Bi
0.250 0.250 0.250 La
0.750 0.750 0.750 La
```

Values from the calculation:
Its energy of formation from the pure elements is 112 meV/atom. The calculation puts the energy above the most stable polymorph in this dataset at 253 meV per atom. As for the crystal system: cubic.

No. 2
The following is a PBE-GGA calculation of crystalline LaBiB at its relaxed geometry, from the Alexandria database.

POSCAR file:
```
LaBiB
1.0
1.279 -0.818 -4.009
-2.322 -3.305 -0.065
-6.385 6.938 0.508
Bi La B
2 2 2
Direct
0.878 0.313 0.357 Bi
0.168 0.671 0.077 Bi
0.558 0.913 0.557 La
0.488 0.072 0.876 La
0.093 0.458 0.647 B
0.953 0.526 0.786 B
```

Values from the calculation:
Its energy of formation from the pure elements is -225 meV/atom. As for the crystal system: triclinic.

No. 3
The following is a PBE-GGA calculation of crystalline La2MgBiB at its relaxed geometry, from the Alexandria database.

POSCAR file:
```
La2MgBiB
1.0
-4.802 2.204 -1.137
0.966 -0.620 -5.281
-1.955 -4.190 0.134
Mg B Bi La
1 1 1 2
Direct
0.000 0.000 0.500 Mg
0.000 0.000 0.000 B
0.500 0.500 0.500 Bi
0.000 0.500 0.000 La
0.500 0.000 0.000 La
```

Values from the calculation:
Its energy of formation from the pure elements is -397 meV/atom. As for the crystal system: tetragonal.

No. 4
The following is a PBE-GGA calculation of crystalline LaBi2BOs at its relaxed geometry, from the Alexandria database.

POSCAR file:
```
LaBi2BOs
1.0
5.270 0.000 0.000
0.000 4.143 0.000
0.000 0.000 5.270
B Os Bi La
1 1 2 1
Direct
0.000 0.000 0.000 B
0.000 0.500 0.000 Os
0.000 0.000 0.500 Bi
0.500 0.000 0.000 Bi
0.500 0.500 0.500 La
```

Values from the calculation:
Its energy of formation from the pure elements is 194 meV/atom. As for the crystal system: tetragonal.

No. 5
The following is a PBE-GGA calculation of crystalline La4BiB3Rh12 at its relaxed geometry, from the Alexandria database.

POSCAR file:
```
La4BiB3Rh12
1.0
-4.309 0.314 -6.401
-3.991 -3.481 5.622
1.850 7.164 2.213
La Bi B Rh
4 1 3 12
Direct
0.500 0.500 0.500 La
0.000 0.000 0.500 La
0.500 0.000 0.000 La
0.000 0.500 0.000 La
0.000 0.000 0.000 Bi
0.500 0.000 0.500 B
0.500 0.500 0.000 B
0.000 0.500 0.500 B
0.250 0.500 0.750 Rh
0.717 0.000 0.717 Rh
0.283 0.000 0.283 Rh
0.750 0.500 0.250 Rh
0.717 0.717 0.000 Rh
0.283 0.283 0.000 Rh
0.750 0.250 0.500 Rh
0.250 0.750 0.500 Rh
0.500 0.250 0.750 Rh
0.000 0.717 0.717 Rh
0.500 0.750 0.250 Rh
0.000 0.283 0.283 Rh
```

Values from the calculation:
Its energy of formation from the pure elements is -506 meV/atom. As for the crystal system: cubic.

No. 6
The following is a PBE-GGA calculation of crystalline LaSi2BiB at its relaxed geometry, from the Alexandria database.

POSCAR file:
```
LaSi2BiB
1.0
-3.469 2.785 -0.402
-3.039 -4.020 -1.634
-1.164 -0.839 4.230
Si B Bi La
2 1 1 1
Direct
0.000 0.000 0.500 Si
0.500 0.000 0.000 Si
0.000 0.000 0.000 B
0.000 0.500 0.000 Bi
0.500 0.500 0.500 La
```

Values from the calculation:
For the formation energy without anion corrections, the calculation gives 0.333 eV per atom. As for the crystal system: tetragonal.

In the order shown, the computed E_tot values come out to -4.9909 -5.3867 -4.7987 -5.9252 -7.0982 -4.9338 eV per atom.